! Rb2PtI2Cl4, optimized geometry, DFT PBE; values from VASP
! Size of the total moment   0.0 μB/f.u.
! Energy   -3.111 eV/atom
! Crystal system   tetragonal
! Formation energy without anion corrections   -9.54 eV per formula unit
! Space-group type   I4/mmm (139)
&SYSTEM
  ibrav = 0, nat = 9, ntyp = 4
/
ATOMIC_SPECIES
Rb 85.47 Rb.upf
Pt 195.08 Pt.upf
I 126.90 I.upf
Cl 35.45 Cl.upf
CELL_PARAMETERS angstrom
-3.8944 3.8944 5.0599
3.8944 -3.8944 5.0599
3.8944 3.8944 -5.0599
ATOMIC_POSITIONS angstrom
Rb 3.8944 0.0000 2.5299
Rb 0.0000 3.8944 2.5299
Pt 0.0000 0.0000 0.0000
I 0.0000 0.0000 2.7029
I 0.0000 0.0000 7.4169
Cl 1.6672 1.6672 0.0000
Cl 2.2272 -2.2272 5.0599
Cl -2.2272 2.2272 5.0599
Cl 2.2272 2.2272 5.0599

---

! RbPtI2Cl, optimized geometry, DFT PBE; values from VASP
! Size of the total moment   0.0 μB/f.u.
! Energy   -3.068 eV/atom
! Crystal system   tetragonal
! Formation energy without anion corrections   -3.38 eV per formula unit
! Space-group type   P4/mmm (123)
&SYSTEM
  ibrav = 0, nat = 5, ntyp = 4
/
ATOMIC_SPECIES
Rb 85.47 Rb.upf
Pt 195.08 Pt.upf
I 126.90 I.upf
Cl 35.45 Cl.upf
CELL_PARAMETERS angstrom
5.6465 0.0000 0.0000
0.0000 5.6465 0.0000
0.0000 0.0000 5.0454
ATOMIC_POSITIONS angstrom
Rb 0.0000 0.0000 0.0000
Pt 2.8233 2.8233 2.5227
I 0.0000 2.8233 2.5227
I 2.8233 0.0000 2.5227
Cl 2.8233 2.8233 0.0000

---

! Rb2PtICl6, optimized geometry, DFT PBE; values from VASP
! Size of the total moment   0.0 μB/f.u.
! Energy   -3.030 eV/atom
! Crystal system   tetragonal
! Formation energy without anion corrections   -9.70 eV per formula unit
! Space-group type   I4/mmm (139)
&SYSTEM
  ibrav = 0, nat = 10, ntyp = 4
/
ATOMIC_SPECIES
Rb 85.47 Rb.upf
Pt 195.08 Pt.upf
I 126.90 I.upf
Cl 35.45 Cl.upf
CELL_PARAMETERS angstrom
-3.7700 3.7700 5.7440
3.7700 -3.7700 5.7440
3.7700 3.7700 -5.7440
ATOMIC_POSITIONS angstrom
Rb 3.7700 0.0000 2.8720
Rb 0.0000 3.7700 2.8720
Pt 0.0000 0.0000 0.0000
I 0.0000 0.0000 5.7440
Cl 0.0000 0.0000 2.3540
Cl 1.7004 1.7004 0.0000
Cl 2.0695 -2.0695 5.7440
Cl -2.0695 2.0695 5.7440
Cl 2.0695 2.0695 5.7440
Cl 0.0000 0.0000 9.1340

---

! RePtI2Cl, optimized geometry, DFT PBE; values from VASP
! Size of the total moment   5.2 μB/f.u.
! Energy   -3.585 eV/atom
! Crystal system   tetragonal
! Formation energy without anion corrections   5.51 eV per formula unit
! Space-group type   P4/mmm (123)
&SYSTEM
  ibrav = 0, nat = 5, ntyp = 4
/
ATOMIC_SPECIES
Re 186.21 Re.upf
Pt 195.08 Pt.upf
I 126.90 I.upf
Cl 35.45 Cl.upf
CELL_PARAMETERS angstrom
5.3930 0.0000 0.0000
0.0000 5.3930 0.0000
0.0000 0.0000 5.3489
ATOMIC_POSITIONS angstrom
Re 0.0000 0.0000 0.0000
Pt 0.0000 0.0000 2.6745
I 0.0000 2.6965 2.6745
I 2.6965 0.0000 2.6745
Cl 2.6965 2.6965 0.0000